# La4YTl5 PBE-GGA relaxed
data_La4YTl5
_chemical_formula_sum 'La4 Y1 Tl5'
_symmetry_space_group_name_H-M 'P 4/m m m'
_symmetry_Int_Tables_number 123
_symmetry_space_group_name_Hall '-P 4 2'
_cell_length_a 3.8591
_cell_length_b 3.8591
_cell_length_c 20.6162
_cell_angle_alpha 90.00
_cell_angle_beta 90.00
_cell_angle_gamma 90.00
loop_
_atom_site_label
_atom_site_type_symbol
_atom_site_fract_x
_atom_site_fract_y
_atom_site_fract_z
La1 La 0.0000 0.0000 0.1028
La2 La 0.0000 0.0000 0.3082
Y1 Y 0.0000 0.0000 0.5000
Tl1 Tl 0.5000 0.5000 0.0000
Tl2 Tl 0.5000 0.5000 0.2061
Tl3 Tl 0.5000 0.5000 0.4113
# Final energy   -4.22 eV/atom
# Size of the total moment   0.00 μB per formula unit
# Mass density   9.013 g/cm3
# Calculated volume   307.0 Å³ per cell
# Crystal system   tetragonal
# Formation enthalpy at 0 K   -0.419 eV/atom

# LiHo2Ge4Pd3 PBE-GGA relaxed
data_LiHo2Ge4Pd3
_chemical_formula_sum 'Li1 Ho2 Ge4 Pd3'
_symmetry_space_group_name_H-M 'P -4 m 2'
_symmetry_Int_Tables_number 115
_cell_length_a 4.0810
_cell_length_b 4.0810
_cell_length_c 11.0451
_cell_angle_alpha 90.00
_cell_angle_beta 90.00
_cell_angle_gamma 90.00
loop_
_symmetry_equiv_pos_as_xyz
'x,y,z'
'y,-x,-z'
'-x,-y,z'
'-y,x,-z'
'-x,y,z'
'-y,-x,-z'
'x,-y,z'
'y,x,-z'
loop_
_atom_site_label
_atom_site_type_symbol
_atom_site_fract_x
_atom_site_fract_y
_atom_site_fract_z
Li1 Li 0.0000 0.0000 0.0000
Ho1 Ho 0.0000 0.5000 0.7607
Ge1 Ge 0.0000 0.0000 0.5000
Ge2 Ge 0.0000 0.5000 0.1370
Ge3 Ge 0.5000 0.5000 0.5000
Pd1 Pd 0.0000 0.5000 0.3593
Pd2 Pd 0.5000 0.5000 0.0000
# Final energy   -5.22 eV/atom
# Size of the total moment   0.00 μB per formula unit
# Mass density   8.545 g/cm3
# Calculated volume   183.9 Å³ per cell
# Crystal system   tetragonal
# Formation enthalpy at 0 K   -0.709 eV/atom

# MgSb2W PBE-GGA relaxed
data_MgSb2W
_chemical_formula_sum 'Mg2 Sb4 W2'
_symmetry_space_group_name_H-M 'C 1 2/m 1'
_symmetry_Int_Tables_number 12
_cell_length_a 6.3443
_cell_length_b 7.3098
_cell_length_c 3.5296
_cell_angle_alpha 90.00
_cell_angle_beta 90.18
_cell_angle_gamma 90.00
loop_
_symmetry_equiv_pos_as_xyz
'x,y,z'
'-x,-y,-z'
'-x,y,-z'
'x,-y,z'
'x+1/2,y+1/2,z'
'-x+1/2,-y+1/2,-z'
'-x+1/2,y+1/2,-z'
'x+1/2,-y+1/2,z'
loop_
_atom_site_label
_atom_site_type_symbol
_atom_site_fract_x
_atom_site_fract_y
_atom_site_fract_z
Mg1 Mg 0.0000 0.0000 0.0000
Sb1 Sb 0.2500 0.2500 0.5000
W1 W 0.0000 0.5000 0.0000
# Formation energy from raw total energies   0.4826 eV/atom
# Final energy   -5.22 eV/atom
# Size of the total moment   0.00 μB per formula unit
# Mass density   9.164 g/cm3
# Calculated volume   163.7 Å³ per cell
# Crystal system   monoclinic
# Polymorph energy (0 for the lowest one)   253 meV/atom

# ReAgBr PBE-GGA relaxed
data_ReAgBr
_chemical_formula_sum 'Re4 Ag4 Br4'
_symmetry_space_group_name_H-M 'F m m 2'
_symmetry_Int_Tables_number 42
_symmetry_space_group_name_Hall 'F 2 -2'
_cell_length_a 2.9678
_cell_length_b 5.3129
_cell_length_c 14.6890
_cell_angle_alpha 90.00
_cell_angle_beta 90.00
_cell_angle_gamma 90.00
loop_
_atom_site_label
_atom_site_type_symbol
_atom_site_fract_x
_atom_site_fract_y
_atom_site_fract_z
Re1 Re 0.0000 0.0000 0.0000
Ag1 Ag 0.0000 0.0000 0.3391
Br1 Br 0.0000 0.0000 0.6414
# Formation energy from raw total energies   0.9437 eV/atom
# Final energy   -4.71 eV/atom
# Size of the total moment   1.03 μB per formula unit
# Mass density   10.725 g/cm3
# Calculated volume   231.6 Å³ per cell
# Crystal system   orthorhombic
# Polymorph energy (0 for the lowest one)   143 meV/atom

# Tb5Pm4Pr2 PBE-GGA relaxed
data_Tb5Pm4Pr2
_chemical_formula_sum 'Tb10 Pm8 Pr4'
_symmetry_space_group_name_H-M 'C 1 2/m 1'
_symmetry_Int_Tables_number 12
_cell_length_a 24.2360
_cell_length_b 3.4887
_cell_length_c 8.8763
_cell_angle_alpha 90.00
_cell_angle_beta 96.57
_cell_angle_gamma 90.00
loop_
_symmetry_equiv_pos_as_xyz
'x,y,z'
'-x,-y,-z'
'-x,y,-z'
'x,-y,z'
'x+1/2,y+1/2,z'
'-x+1/2,-y+1/2,-z'
'-x+1/2,y+1/2,-z'
'x+1/2,-y+1/2,z'
loop_
_atom_site_label
_atom_site_type_symbol
_atom_site_fract_x
_atom_site_fract_y
_atom_site_fract_z
Tb1 Tb 0.0000 0.0000 0.0000
Tb2 Tb 0.1419 0.5000 0.1175
Tb3 Tb 0.2326 0.5000 0.8280
Pm1 Pm 0.0461 0.5000 0.3587
Pm2 Pm 0.1791 0.0000 0.4705
Pr1 Pr 0.0904 0.5000 0.7391
# Final energy   -4.56 eV/atom
# Size of the total moment   0.00 μB per formula unit
# Mass density   7.378 g/cm3
# Calculated volume   745.6 Å³ per cell
# Crystal system   monoclinic
# Formation enthalpy at 0 K   0.141 eV/atom
# Polymorph energy (0 for the lowest one)   17 meV/atom

# VPbS2 PBE-GGA relaxed
data_VPbS2
_chemical_formula_sum 'V3 Pb3 S6'
_symmetry_space_group_name_H-M 'R 3 m'
_symmetry_Int_Tables_number 160
_symmetry_space_group_name_Hall 'R 3 -2"'
_cell_length_a 3.2997
_cell_length_b 3.2997
_cell_length_c 25.3307
_cell_angle_alpha 90.00
_cell_angle_beta 90.00
_cell_angle_gamma 120.00
loop_
_atom_site_label
_atom_site_type_symbol
_atom_site_fract_x
_atom_site_fract_y
_atom_site_fract_z
V1 V 0.0000 0.0000 0.0000
Pb1 Pb 0.0000 0.0000 0.1676
S1 S 0.0000 0.0000 0.3898
S2 S 0.0000 0.0000 0.6097
# Formation energy from raw total energies   -0.6205 eV/atom
# Final energy   -5.89 eV/atom
# Size of the total moment   0.00 μB per formula unit
# Mass density   6.721 g/cm3
# Calculated volume   238.9 Å³ per cell
# Crystal system   trigonal

# LiCa2Y PBE-GGA relaxed
data_LiCa2Y
_chemical_formula_sum 'Li2 Ca4 Y2'
_symmetry_space_group_name_H-M 'C m m m'
_symmetry_Int_Tables_number 65
_symmetry_space_group_name_Hall '-C 2 2'
_cell_length_a 5.2565
_cell_length_b 5.2707
_cell_length_c 9.8231
_cell_angle_alpha 90.00
_cell_angle_beta 90.00
_cell_angle_gamma 90.00
loop_
_atom_site_label
_atom_site_type_symbol
_atom_site_fract_x
_atom_site_fract_y
_atom_site_fract_z
Li1 Li 0.0000 0.0000 0.0000
Ca1 Ca 0.0000 0.5000 0.2280
Y1 Y 0.0000 0.0000 0.5000
# Final energy   -3.00 eV/atom
# Size of the total moment   1.24 μB per formula unit
# Mass density   2.148 g/cm3
# Calculated volume   272.2 Å³ per cell
# Crystal system   orthorhombic
# Formation enthalpy at 0 K   0.097 eV/atom
# Polymorph energy (0 for the lowest one)   2 meV/atom

# NaHg6H2 PBE-GGA relaxed
data_NaHg6H2
_chemical_formula_sum 'Na4 Hg24 H8'
_symmetry_space_group_name_H-M 'C 1 2/c 1'
_symmetry_Int_Tables_number 15
_cell_length_a 8.2844
_cell_length_b 14.4196
_cell_length_c 7.8927
_cell_angle_alpha 90.00
_cell_angle_beta 118.97
_cell_angle_gamma 90.00
loop_
_symmetry_equiv_pos_as_xyz
'x,y,z'
'-x,-y,-z'
'-x,y,-z+1/2'
'x,-y,z+1/2'
'x+1/2,y+1/2,z'
'-x+1/2,-y+1/2,-z'
'-x+1/2,y+1/2,-z+1/2'
'x+1/2,-y+1/2,z+1/2'
loop_
_atom_site_label
_atom_site_type_symbol
_atom_site_fract_x
_atom_site_fract_y
_atom_site_fract_z
Na1 Na 0.0000 0.0735 0.2500
Hg1 Hg 0.0883 0.2758 0.5258
Hg2 Hg 0.1956 0.3905 0.8979
Hg3 Hg 0.2082 0.4167 0.2798
H1 H 0.0746 0.1658 0.0214
# Final energy   -0.99 eV/atom
# Size of the total moment   0.00 μB per formula unit
# Mass density   9.893 g/cm3
# Calculated volume   824.9 Å³ per cell
# Crystal system   monoclinic

# ThScTe2 PBE-GGA relaxed
data_ThScTe2
_chemical_formula_sum 'Th3 Sc3 Te6'
_symmetry_space_group_name_H-M 'R -3 m'
_symmetry_Int_Tables_number 166
_symmetry_space_group_name_Hall '-R 3 2"'
_cell_length_a 4.1067
_cell_length_b 4.1067
_cell_length_c 23.2623
_cell_angle_alpha 90.00
_cell_angle_beta 90.00
_cell_angle_gamma 120.00
loop_
_atom_site_label
_atom_site_type_symbol
_atom_site_fract_x
_atom_site_fract_y
_atom_site_fract_z
Th1 Th 0.0000 0.0000 0.0000
Sc1 Sc 0.0000 0.0000 0.5000
Te1 Te 0.0000 0.0000 0.2405
# Formation energy from raw total energies   -1.0554 eV/atom
# Final energy   -6.06 eV/atom
# Size of the total moment   0.00 μB per formula unit
# Mass density   7.803 g/cm3
# Calculated volume   339.8 Å³ per cell
# Crystal system   trigonal
# Polymorph energy (0 for the lowest one)   30 meV/atom

# Ca2SiSb PBE-GGA relaxed
data_Ca2SiSb
_chemical_formula_sum 'Ca2 Si1 Sb1'
_symmetry_space_group_name_H-M 'P 4/m m m'
_symmetry_Int_Tables_number 123
_symmetry_space_group_name_Hall '-P 4 2'
_cell_length_a 4.9121
_cell_length_b 4.9121
_cell_length_c 4.2678
_cell_angle_alpha 90.00
_cell_angle_beta 90.00
_cell_angle_gamma 90.00
loop_
_atom_site_label
_atom_site_type_symbol
_atom_site_fract_x
_atom_site_fract_y
_atom_site_fract_z
Ca1 Ca 0.0000 0.5000 0.0000
Si1 Si 0.0000 0.0000 0.5000
Sb1 Sb 0.5000 0.5000 0.5000
# Formation energy from raw total energies   -0.5068 eV/atom
# Final energy   -3.89 eV/atom
# Size of the total moment   0.00 μB per formula unit
# Mass density   3.709 g/cm3
# Calculated volume   103.0 Å³ per cell
# Crystal system   tetragonal
# Polymorph energy (0 for the lowest one)   2 meV/atom

# Ce2TlIn PBE-GGA relaxed
data_Ce2TlIn
_chemical_formula_sum 'Ce2 Tl1 In1'
_symmetry_space_group_name_H-M 'P 4/m m m'
_symmetry_Int_Tables_number 123
_symmetry_space_group_name_Hall '-P 4 2'
_cell_length_a 3.4280
_cell_length_b 3.4280
_cell_length_c 9.4741
_cell_angle_alpha 90.00
_cell_angle_beta 90.00
_cell_angle_gamma 90.00
loop_
_atom_site_label
_atom_site_type_symbol
_atom_site_fract_x
_atom_site_fract_y
_atom_site_fract_z
Ce1 Ce 0.0000 0.0000 0.2474
Tl1 Tl 0.5000 0.5000 0.5000
In1 In 0.5000 0.5000 0.0000
# Final energy   -4.55 eV/atom
# Size of the total moment   2.46 μB per formula unit
# Mass density   8.941 g/cm3
# Calculated volume   111.3 Å³ per cell
# Crystal system   tetragonal
# Formation enthalpy at 0 K   -0.302 eV/atom

# LaTlPS2 PBE-GGA relaxed
data_LaTlPS2
_chemical_formula_sum 'La1 Tl1 P1 S2'
_symmetry_space_group_name_H-M 'P 4/m m m'
_symmetry_Int_Tables_number 123
_symmetry_space_group_name_Hall '-P 4 2'
_cell_length_a 5.0781
_cell_length_b 5.0781
_cell_length_c 5.0390
_cell_angle_alpha 90.00
_cell_angle_beta 90.00
_cell_angle_gamma 90.00
loop_
_atom_site_label
_atom_site_type_symbol
_atom_site_fract_x
_atom_site_fract_y
_atom_site_fract_z
La1 La 0.0000 0.0000 0.0000
Tl1 Tl 0.5000 0.5000 0.5000
P1 P 0.5000 0.5000 0.0000
S1 S 0.0000 0.5000 0.5000
# Formation energy from raw total energies   -0.1827 eV/atom
# Final energy   -4.37 eV/atom
# Size of the total moment   0.00 μB per formula unit
# Mass density   5.602 g/cm3
# Calculated volume   129.9 Å³ per cell
# Crystal system   tetragonal
# Polymorph energy (0 for the lowest one)   49 meV/atom